(1)
First-principles (GGA-PBE) data for Sr3Ga6Sn2Ge after structural relaxation, as listed in the Alexandria database.

Calculated values
Density of states at the Fermi level = 5.30 states/eV per cell
ΔH_f (0 K) = -0.23 eV/atom

The structure in CIF format:
```
data_Sr3Ga6Sn2Ge
_space_group_name_H-M_alt 'P -3 m 1'
_space_group_IT_number 164
_space_group_name_Hall '-P 3 2"'
_cell_length_a 5.6949
_cell_length_b 5.6949
_cell_length_c 11.0769
_cell_angle_alpha 90.00
_cell_angle_beta 90.00
_cell_angle_gamma 120.00
loop_
_atom_site_label
_atom_site_fract_x
_atom_site_fract_y
_atom_site_fract_z
Sr1 0.0000 0.0000 0.0000
Sr2 0.3333 0.6667 0.5675
Ga1 0.1673 0.3345 0.2787
Sn1 0.3333 0.6667 0.0542
Ge1 0.0000 0.0000 0.5000
```

(2)
First-principles (GGA-PBE) data for Al2FeW after structural relaxation, as listed in the Alexandria database.

Calculated values
Density of states at the Fermi level = 11.02 states/eV per cell
ΔH_f (0 K) = 0.10 eV/atom

The structure in CIF format:
```
data_Al2FeW
_space_group_name_H-M_alt 'F m -3 m'
_space_group_IT_number 225
_space_group_name_Hall '-F 4 2 3'
_cell_length_a 6.083
_cell_length_b 6.083
_cell_length_c 6.083
_cell_angle_alpha 90.00
_cell_angle_beta 90.00
_cell_angle_gamma 90.00
loop_
_atom_site_label
_atom_site_fract_x
_atom_site_fract_y
_atom_site_fract_z
Al1 0.250 0.250 0.250
Fe1 0.000 0.000 0.000
W1 0.000 0.000 0.500
```

(3)
First-principles (GGA-PBE) data for AcDy3H after structural relaxation, as listed in the Alexandria database.

Calculated values
Density of states at the Fermi level = 4.15 states/eV per cell
Final energy = -4.38 eV/atom

The structure in CIF format:
```
data_AcDy3H
_space_group_name_H-M_alt 'P m -3 m'
_space_group_IT_number 221
_space_group_name_Hall '-P 4 2 3'
_cell_length_a 5.118
_cell_length_b 5.118
_cell_length_c 5.118
_cell_angle_alpha 90.00
_cell_angle_beta 90.00
_cell_angle_gamma 90.00
loop_
_atom_site_label
_atom_site_fract_x
_atom_site_fract_y
_atom_site_fract_z
Ac1 0.000 0.000 0.000
Dy1 0.000 0.500 0.500
H1 0.500 0.500 0.500
```

(4)
First-principles (GGA-PBE) data for Sm4Y7In after structural relaxation, as listed in the Alexandria database.

Calculated values
Density of states at the Fermi level = 37.50 states/eV per cell
ΔH_f (0 K) = 0.13 eV/atom

The structure in CIF format:
```
data_Sm4Y7In
_space_group_name_H-M_alt 'C 1 2/m 1'
_space_group_IT_number 12
_space_group_name_Hall '-C 2y'
_cell_length_a 16.196
_cell_length_b 5.924
_cell_length_c 9.327
_cell_angle_alpha 90.00
_cell_angle_beta 116.23
_cell_angle_gamma 90.00
loop_
_atom_site_label
_atom_site_fract_x
_atom_site_fract_y
_atom_site_fract_z
Sm1 0.099 0.000 0.486
Sm2 0.232 0.000 0.275
Y1 0.000 0.000 0.000
Y2 0.065 0.500 0.724
Y3 0.160 0.500 0.333
Y4 0.216 0.000 0.897
In1 0.000 0.500 0.000
```

(5)
First-principles (GGA-PBE) data for InC5 after structural relaxation, as listed in the Alexandria database.

Calculated values
Density of states at the Fermi level = 2.00 states/eV per cell
ΔH_f (0 K) = 3.09 eV/atom

The structure in CIF format:
```
data_InC5
_space_group_name_H-M_alt 'P 6/m m m'
_space_group_IT_number 191
_space_group_name_Hall '-P 6 2'
_cell_length_a 4.9004
_cell_length_b 4.9004
_cell_length_c 2.5006
_cell_angle_alpha 90.00
_cell_angle_beta 90.00
_cell_angle_gamma 120.00
loop_
_atom_site_label
_atom_site_fract_x
_atom_site_fract_y
_atom_site_fract_z
In1 0.0000 0.0000 0.0000
C1 0.0000 0.5000 0.5000
C2 0.3333 0.6667 0.0000
```

(6)
First-principles (GGA-PBE) data for CsBa2GaPt after structural relaxation, as listed in the Alexandria database.

Calculated values
Density of states at the Fermi level = 4.26 states/eV per cell
ΔH_f (0 K) = -0.29 eV/atom

The structure in CIF format:
```
data_CsBa2GaPt
_space_group_name_H-M_alt 'P 4/m m m'
_space_group_IT_number 123
_space_group_name_Hall '-P 4 2'
_cell_length_a 6.356
_cell_length_b 6.356
_cell_length_c 5.056
_cell_angle_alpha 90.00
_cell_angle_beta 90.00
_cell_angle_gamma 90.00
loop_
_atom_site_label
_atom_site_fract_x
_atom_site_fract_y
_atom_site_fract_z
Cs1 0.000 0.000 0.000
Ba1 0.000 0.500 0.500
Ga1 0.500 0.500 0.000
Pt1 0.500 0.500 0.500
```

(7)
First-principles (GGA-PBE) data for ErTi4S8 after structural relaxation, as listed in the Alexandria database.

Calculated values
Density of states at the Fermi level = 24.61 states/eV per cell
E_form (uncorrected) = -19.66 eV/f.u.

The structure in CIF format:
```
data_ErTi4S8
_space_group_name_H-M_alt 'R -3 m'
_space_group_IT_number 166
_space_group_name_Hall '-R 3 2"'
_cell_length_a 6.8884
_cell_length_b 6.8884
_cell_length_c 19.1265
_cell_angle_alpha 90.00
_cell_angle_beta 90.00
_cell_angle_gamma 120.00
loop_
_atom_site_label
_atom_site_fract_x
_atom_site_fract_y
_atom_site_fract_z
Er1 0.0000 0.0000 0.0000
Ti1 0.0000 0.0000 0.5000
Ti2 0.0000 0.5000 0.5000
S1 0.0000 0.0000 0.2397
S2 0.0063 0.5032 0.2431
```

(8)
First-principles (GGA-PBE) data for VRh2I after structural relaxation, as listed in the Alexandria database.

Calculated values
Density of states at the Fermi level = 22.76 states/eV per cell
E_form (uncorrected) = 1.86 eV/f.u.

The structure in CIF format:
```
data_VRh2I
_space_group_name_H-M_alt 'F m -3 m'
_space_group_IT_number 225
_space_group_name_Hall '-F 4 2 3'
_cell_length_a 6.449
_cell_length_b 6.449
_cell_length_c 6.449
_cell_angle_alpha 90.00
_cell_angle_beta 90.00
_cell_angle_gamma 90.00
loop_
_atom_site_label
_atom_site_fract_x
_atom_site_fract_y
_atom_site_fract_z
V1 0.000 0.000 0.000
Rh1 0.250 0.250 0.250
I1 0.000 0.000 0.500
```

(9)
First-principles (GGA-PBE) data for TaTlS2 after structural relaxation, as listed in the Alexandria database.

Calculated values
Density of states at the Fermi level = 4.45 states/eV per cell
E_form (uncorrected) = -3.12 eV/f.u.

The structure in CIF format:
```
data_TaTlS2
_space_group_name_H-M_alt 'C 1 2/m 1'
_space_group_IT_number 12
_space_group_name_Hall '-C 2y'
_cell_length_a 5.844
_cell_length_b 3.368
_cell_length_c 9.192
_cell_angle_alpha 90.00
_cell_angle_beta 99.90
_cell_angle_gamma 90.00
loop_
_atom_site_label
_atom_site_fract_x
_atom_site_fract_y
_atom_site_fract_z
Ta1 0.000 0.000 0.000
Tl1 0.000 0.000 0.500
S1 0.121 0.500 0.828
```

(10)
First-principles (GGA-PBE) data for Hg4SbS5 after structural relaxation, as listed in the Alexandria database.

Calculated values
Density of states at the Fermi level = 3.26 states/eV per cell
E_form (uncorrected) = -0.41 eV/f.u.

The structure in CIF format:
```
data_Hg4SbS5
_space_group_name_H-M_alt 'I 4'
_space_group_IT_number 79
_space_group_name_Hall 'I 4'
_cell_length_a 8.956
_cell_length_b 8.956
_cell_length_c 5.590
_cell_angle_alpha 90.00
_cell_angle_beta 90.00
_cell_angle_gamma 90.00
loop_
_atom_site_label
_atom_site_fract_x
_atom_site_fract_y
_atom_site_fract_z
Hg1 0.104 0.698 0.000
Sb1 0.000 0.000 0.495
S1 0.000 0.000 0.948
S2 0.094 0.706 0.493
```

(11)
First-principles (GGA-PBE) data for PmEuHgRu after structural relaxation, as listed in the Alexandria database.

Calculated values
Density of states at the Fermi level = 23.02 states/eV per cell
ΔH_f (0 K) = -0.16 eV/atom

The structure in CIF format:
```
data_PmEuHgRu
_space_group_name_H-M_alt 'F -4 3 m'
_space_group_IT_number 216
_space_group_name_Hall 'F -4 2 3'
_cell_length_a 7.303
_cell_length_b 7.303
_cell_length_c 7.303
_cell_angle_alpha 90.00
_cell_angle_beta 90.00
_cell_angle_gamma 90.00
loop_
_atom_site_label
_atom_site_fract_x
_atom_site_fract_y
_atom_site_fract_z
Pm1 0.000 0.000 0.000
Eu1 0.000 0.000 0.500
Hg1 0.250 0.250 0.250
Ru1 0.250 0.250 0.750
```

(12)
First-principles (GGA-PBE) data for Cu2AsRu after structural relaxation, as listed in the Alexandria database.

Calculated values
Density of states at the Fermi level = 2.46 states/eV per cell
ΔH_f (0 K) = 0.13 eV/atom

The structure in CIF format:
```
data_Cu2AsRu
_space_group_name_H-M_alt 'P m m m'
_space_group_IT_number 47
_space_group_name_Hall '-P 2 2'
_cell_length_a 3.620
_cell_length_b 3.683
_cell_length_c 4.018
_cell_angle_alpha 90.00
_cell_angle_beta 90.00
_cell_angle_gamma 90.00
loop_
_atom_site_label
_atom_site_fract_x
_atom_site_fract_y
_atom_site_fract_z
Cu1 0.000 0.000 0.000
Cu2 0.500 0.500 0.000
As1 0.000 0.500 0.500
Ru1 0.500 0.000 0.500
```